DFT (PBE-GGA) results for a relaxed structure of CuSbRh2.

Summary:
energy relative to the elements, uncorrected	-0.15	eV/atom
energy relative to the lowest polymorph listed for this composition	154	meV/atom
uncorrected energy	-5.8809	eV/atom
symmetry	P4/mmm

```
CuSbRh2
1.0
3.230 0.011 0.000
-0.010 3.230 0.000
0.000 0.000 5.880
Rh Cu Sb
2 1 1
Cartesian
0.000 0.000 5.836 Rh
0.000 0.000 2.984 Rh
1.610 1.620 4.410 Cu
1.610 1.620 1.470 Sb
```

DFT (PBE-GGA) results for a relaxed structure of Th4GeAs2Au.

Summary:
energy of formation from the pure elements	-0.998	eV per atom
uncorrected energy	-6.8570	eV/atom
symmetry	P2/m

```
Th4GeAs2Au
1.0
4.233 0.000 0.000
0.000 7.463 -0.170
0.000 2.605 6.996
Ge As Au Th
1 2 1 4
Cartesian
0.000 5.034 3.413 Ge
0.000 2.605 6.996 As
2.117 1.303 3.498 As
2.117 3.731 -0.085 Au
0.000 7.555 5.097 Th
2.117 3.797 5.178 Th
4.233 2.513 1.730 Th
2.117 6.271 1.648 Th
```

DFT (PBE-GGA) results for a relaxed structure of TaAl2As.

Summary:
energy of formation from the pure elements	-0.009	eV per atom
uncorrected energy	-6.0057	eV/atom
symmetry	Cmmm

```
TaAl2As
1.0
-2.202 -0.502 -1.752
1.662 -2.202 -0.748
-3.694 -4.836 6.029
Al As Ta
2 1 1
Cartesian
-1.890 -2.475 3.085 Al
-3.651 -4.779 5.958 Al
-1.194 -2.561 0.257 As
-3.041 -4.980 3.271 Ta
```

DFT (PBE-GGA) results for a relaxed structure of Mn5Al4V.

Summary:
energy of formation from the pure elements	-0.249	eV per atom
uncorrected energy	-7.2425	eV/atom
symmetry	P4/mmm

```
Mn5Al4V
1.0
2.894 0.000 0.000
0.000 2.894 0.000
0.000 0.000 15.056
Al Mn V
4 5 1
Cartesian
0.000 0.000 5.989 Al
0.000 0.000 12.189 Al
0.000 0.000 9.067 Al
0.000 0.000 2.867 Al
1.447 1.447 1.383 Mn
1.447 1.447 13.673 Mn
1.447 1.447 4.432 Mn
1.447 1.447 10.624 Mn
1.447 1.447 7.528 Mn
0.000 0.000 0.000 V
```

DFT (PBE-GGA) results for a relaxed structure of Pr2Tm3Sc4.

Summary:
energy of formation from the pure elements	0.109	eV per atom
uncorrected energy	-5.2574	eV/atom
symmetry	C2/c

```
Pr2Tm3Sc4
1.0
5.551 1.478 1.058
2.146 10.605 0.708
2.146 4.087 9.811
Tm Sc Pr
6 8 4
Cartesian
5.087 2.890 3.453 Tm
4.756 13.280 8.124 Tm
6.309 7.729 7.067 Tm
2.311 3.461 1.094 Tm
7.531 12.709 10.483 Tm
3.534 8.442 4.510 Tm
4.544 5.830 2.262 Sc
1.769 3.281 4.261 Sc
2.321 9.195 1.485 Sc
4.746 11.062 2.822 Sc
8.073 12.889 7.317 Sc
5.096 5.108 8.756 Sc
5.298 10.340 9.315 Sc
7.522 6.975 10.092 Sc
5.789 10.962 5.872 Pr
3.013 8.352 7.956 Pr
4.054 5.209 5.705 Pr
6.829 7.819 3.622 Pr
```

DFT (PBE-GGA) results for a relaxed structure of BaCrTe2.

Summary:
energy relative to the elements, uncorrected	-0.52	eV/atom
uncorrected energy	-4.9762	eV/atom
symmetry	Cmmm

```
BaCrTe2
1.0
4.417 -0.160 0.000
-2.034 3.924 0.000
0.000 0.000 8.343
Cr Ba Te
1 1 2
Cartesian
1.192 1.882 6.257 Cr
1.192 1.882 2.086 Ba
0.000 0.000 4.537 Te
0.000 0.000 7.978 Te
```

DFT (PBE-GGA) results for a relaxed structure of YZrAl2.

Summary:
energy of formation from the pure elements	-0.143	eV per atom
energy relative to the lowest polymorph listed for this composition	248	meV/atom
uncorrected energy	-5.7676	eV/atom
symmetry	R-3m

```
YZrAl2
1.0
9.125 -0.025 -0.015
8.480 3.368 -0.015
8.480 1.610 2.959
Zr Al Y
1 2 1
Cartesian
19.564 3.715 2.197 Zr
12.928 2.455 1.451 Al
0.115 0.022 0.013 Al
6.521 1.238 0.732 Y
```

DFT (PBE-GGA) results for a relaxed structure of SiNi2MoH.

Summary:
uncorrected energy	-6.4197	eV/atom
symmetry	P4/mmm

```
SiNi2MoH
1.0
3.603 0.000 0.000
0.000 3.603 0.000
0.000 0.000 4.005
Ni H Si Mo
2 1 1 1
Cartesian
0.000 1.802 0.000 Ni
1.802 0.000 0.000 Ni
0.000 0.000 0.000 H
1.802 1.802 2.002 Si
0.000 0.000 2.002 Mo
```

DFT (PBE-GGA) results for a relaxed structure of Ba3GaPd3.

Summary:
energy of formation from the pure elements	-0.573	eV per atom
uncorrected energy	-4.0545	eV/atom
symmetry	C2/m

```
Ba3GaPd3
1.0
4.501 0.000 0.678
2.221 6.085 0.531
-0.011 -0.015 15.352
Pd Ga Ba
6 2 6
Cartesian
5.509 5.223 9.264 Pd
6.178 5.342 4.820 Pd
2.387 5.253 14.710 Pd
0.533 0.727 11.741 Pd
4.324 0.817 1.851 Pd
1.202 0.847 7.297 Pd
3.096 5.548 10.004 Ga
3.615 0.521 6.557 Ga
3.609 4.026 6.595 Ba
3.102 2.044 9.966 Ba
4.977 4.494 12.794 Ba
2.404 1.662 14.597 Ba
4.307 4.408 1.964 Ba
1.734 1.575 3.767 Ba
```

DFT (PBE-GGA) results for a relaxed structure of RbAl3Ge3.

Summary:
energy of formation from the pure elements	-0.004	eV per atom
energy relative to the lowest polymorph listed for this composition	9	meV/atom
uncorrected energy	-3.7253	eV/atom
symmetry	Pm-3n

```
RbAl3Ge3
1.0
-2.217 5.880 -3.511
-6.602 -0.856 2.736
1.817 4.063 5.657
Al Ge Rb
6 6 2
Cartesian
-3.855 1.042 0.490 Al
-0.654 3.956 -0.341 Al
-0.742 1.818 3.512 Al
-4.043 1.390 4.880 Al
-4.964 3.982 -1.265 Al
0.255 5.987 2.487 Al
-6.060 2.298 0.296 Ge
-2.759 2.726 -1.071 Ge
-0.754 6.441 0.195 Ge
-1.938 2.619 5.610 Ge
0.355 3.501 1.951 Ge
-2.847 0.588 2.782 Ge
-3.501 4.543 2.441 Rb
0.000 0.000 0.000 Rb
```

DFT (PBE-GGA) results for a relaxed structure of V2Ni2Rh.

Summary:
energy of formation from the pure elements	-0.192	eV per atom
energy relative to the lowest polymorph listed for this composition	21	meV/atom
uncorrected energy	-7.6218	eV/atom
symmetry	P4/mbm

```
V2Ni2Rh
1.0
6.727 0.000 0.000
0.000 6.727 0.000
0.000 0.000 2.781
V Ni Rh
4 4 2
Cartesian
4.540 5.550 1.391 V
2.187 1.177 1.391 V
5.550 2.187 1.391 V
1.177 4.540 1.391 V
4.201 0.838 0.000 Ni
0.838 2.526 0.000 Ni
2.526 5.889 0.000 Ni
5.889 4.201 0.000 Ni
3.363 3.363 0.000 Rh
0.000 0.000 0.000 Rh
```

DFT (PBE-GGA) results for a relaxed structure of Rb2HfPt3O12.

Summary:
energy relative to the elements, uncorrected	-1.01	eV/atom
uncorrected energy	-5.9838	eV/atom
symmetry	R-3m

```
Rb2HfPt3O12
1.0
-3.203 5.895 3.294
-5.889 3.472 -3.021
-6.807 -0.424 3.057
Pt O Rb Hf
3 12 2 1
Cartesian
-1.602 2.947 1.647 Pt
-3.403 -0.212 1.529 Pt
-2.944 1.736 -1.510 Pt
-5.178 0.350 2.068 O
-7.258 3.989 4.028 O
-11.274 6.245 4.926 O
-4.625 2.698 -1.595 O
-6.717 6.284 0.445 O
-8.841 2.560 0.306 O
-12.892 4.785 1.120 O
-8.641 4.954 -0.698 O
-7.058 6.382 3.024 O
-3.007 4.158 2.211 O
-10.720 8.593 1.262 O
-9.182 2.658 2.885 O
-6.052 3.404 1.268 Rb
-9.846 5.538 2.063 Rb
0.000 0.000 0.000 Hf
```

DFT (PBE-GGA) results for a relaxed structure of Cu2I4Br.

Summary:
energy relative to the elements, uncorrected	-0.07	eV/atom
energy relative to the lowest polymorph listed for this composition	0	meV/atom
uncorrected energy	-2.3679	eV/atom
symmetry	P1

```
Cu2I4Br
1.0
8.558 0.635 1.071
-0.044 7.300 0.001
-3.042 -3.880 9.228
I Br Cu
8 2 4
Cartesian
3.345 3.818 4.356 I
1.416 -1.092 7.307 I
6.278 0.285 4.302 I
3.482 0.157 1.998 I
4.286 2.263 7.810 I
5.506 -1.397 8.160 I
0.051 1.242 6.018 I
6.308 3.917 1.957 I
-0.931 3.382 4.727 Br
-1.402 -2.957 9.355 Br
4.887 5.589 3.454 Cu
4.791 2.121 3.097 Cu
6.185 0.784 6.936 Cu
3.328 -0.002 8.576 Cu
```

DFT (PBE-GGA) results for a relaxed structure of SrMg2Mo.

Summary:
energy of formation from the pure elements	0.668	eV per atom
energy relative to the lowest polymorph listed for this composition	179	meV/atom
uncorrected energy	-3.2578	eV/atom
symmetry	Cmmm

```
SrMg2Mo
1.0
-4.595 0.937 5.606
4.168 -3.690 0.107
1.208 1.434 2.428
Mg Mo Sr
2 1 1
Cartesian
0.000 0.000 0.000 Mg
-1.694 1.186 4.017 Mg
2.688 -1.128 1.268 Mo
-0.214 -1.376 2.856 Sr
```